Record 1
{
  "formula": "CuTcTe2",
  "functional": "GGA-PBE",
  "state": "relaxed",
  "lattice_angstrom": [[0.0000, 3.3496, 3.3496], [3.3496, 0.0000, 3.3496], [3.3496, 3.3496, 0.0000]],
  "species": ["Te", "Te", "Tc", "Cu"],
  "fractional_positions": [[0.7500, 0.7500, 0.7500], [0.2500, 0.2500, 0.2500], [0.5000, 0.5000, 0.5000], [0.0000, 0.0000, 0.0000]],
  "e_form_raw_ev_per_atom": 0.36,
  "relative_energy_mev_per_atom": 223
}

=====

Record 2
{
  "formula": "Rb3HfU2Te6",
  "functional": "GGA-PBE",
  "state": "relaxed",
  "lattice_angstrom": [[7.6409, -0.0013, -0.0016], [-3.8197, 6.6177, -0.0016], [-1.2757, -2.2088, 8.6637]],
  "species": ["U", "U", "Rb", "Rb", "Rb", "Te", "Te", "Te", "Te", "Te", "Te", "Hf"],
  "fractional_positions": [[0.6659, 0.3341, 0.0000], [0.3341, 0.6659, 0.0000], [0.1719, 0.8281, 0.5000], [0.8281, 0.1719, 0.5000], [0.5000, 0.5000, 0.5000], [0.0661, 0.3825, 0.1989], [0.2485, 0.2485, 0.7991], [0.9339, 0.6175, 0.8011], [0.6175, 0.9339, 0.8011], [0.3825, 0.0661, 0.1989], [0.7515, 0.7515, 0.2009], [0.0000, 0.0000, 0.0000]],
  "e_form_raw_ev_per_atom": -0.84
}

=====

Record 3
{
  "formula": "K2NaWSe4",
  "functional": "GGA-PBE",
  "state": "relaxed",
  "lattice_angstrom": [[-0.4488, -6.9970, -0.9179], [5.4440, 1.6430, 4.2030], [-5.8224, 2.5059, 3.1341]],
  "species": ["Se", "Se", "Se", "Se", "W", "K", "K", "Na"],
  "fractional_positions": [[0.9664, 0.4986, 0.1518], [0.3469, 0.8482, 0.8147], [0.0336, 0.1853, 0.5322], [0.6531, 0.4678, 0.5014], [0.0000, 0.5000, 0.5000], [0.5000, 0.7500, 0.2500], [0.0000, 0.0000, 0.0000], [0.5000, 0.2500, 0.7500]],
  "e_form_raw_ev_per_atom": -0.77
}

=====

Record 4
{
  "formula": "NdHoCd",
  "functional": "GGA-PBE",
  "state": "relaxed",
  "lattice_angstrom": [[3.6536, 0.0000, 0.0000], [0.0000, 5.2929, 0.0000], [0.0000, -2.6464, 4.5838]],
  "species": ["Ho", "Cd", "Nd"],
  "fractional_positions": [[0.9216, 0.0000, 0.0000], [0.7137, 0.6667, 0.3333], [0.3648, 0.3333, 0.6667]],
  "ef_mev_per_atom": -74,
  "relative_energy_mev_per_atom": 142
}

=====

Number 1: DOS(E_F) 2.34 states/eV/f.u., total moment 0.00 μB per cell. Number 2: DOS(E_F) 10.97 states/eV/f.u., total moment 6.99 μB per cell. Number 3: DOS(E_F) 4.04 states/eV/f.u., total moment 1.00 μB per cell. Number 4: DOS(E_F) 4.15 states/eV/f.u., total moment 0.00 μB per cell.